Entry 1:
Compound: Zr3SeS
Source: Alexandria
Functional: PBE
Structure: optimized geometry

Geometry as extended XYZ:
```
5
Lattice="-4.831 -0.085 0.155 -0.128 -1.218 -4.677 0.121 -4.678 1.215" Properties=species:S:1:pos:R:3 pbc="T T T"
S 0.000 0.000 0.000
Zr 0.061 -2.339 0.608
Zr -0.064 -0.609 -2.338
Zr -2.416 -0.043 0.077
Se -2.419 -2.991 -1.653
```

Energy relative to the lowest polymorph listed for this composition (eV per formula unit): 0.00
Total magnetic moment (μB per atom): 0.00
VASP energy (eV/atom): -6.99

***

Entry 2:
Compound: Pr7Sm16Y6
Source: Alexandria
Functional: PBE
Structure: optimized geometry

Geometry as extended XYZ:
```
29
Lattice="-3.452 4.411 -9.889 -10.728 3.558 -1.199 -2.247 11.113 -0.790" Properties=species:S:1:pos:R:3 pbc="T T T"
Y -5.454 10.268 -3.558
Y -6.012 7.169 -7.766
Y -10.415 11.913 -4.112
Y -10.973 8.814 -8.321
Y -7.051 12.308 -8.131
Y -9.376 6.774 -3.747
Pr -2.850 7.762 -5.340
Pr -7.090 3.984 -5.544
Pr 0.000 0.000 0.000
Pr -1.726 2.206 -4.945
Pr -5.364 1.779 -0.600
Pr -6.487 7.335 -0.994
Pr -1.123 5.557 -0.395
Sm -3.781 4.591 -6.415
Sm -10.716 12.448 -7.749
Sm -4.178 10.280 -7.018
Sm -12.249 8.802 -4.860
Sm -12.646 14.490 -5.463
Sm -3.181 7.928 -1.884
Sm -14.365 16.686 -10.387
Sm -7.080 13.407 -4.611
Sm -7.815 9.322 -10.157
Sm -2.062 2.395 -1.491
Sm -8.612 9.760 -1.722
Sm -9.347 5.675 -7.268
Sm -9.024 14.915 -9.790
Sm -13.246 11.153 -9.994
Sm -7.403 4.167 -2.088
Sm -5.711 6.633 -4.129
```

ΔE_f (eV/f.u.): 6.694
Total magnetic moment (μB per atom): 0.00
VASP energy (eV/atom): -4.86

***

Entry 3:
Compound: Cd2FeSb
Source: Alexandria
Functional: PBE
Structure: optimized geometry

Geometry as extended XYZ:
```
4
Lattice="6.293 -0.139 0.381 -3.503 5.230 0.381 0.716 1.306 2.780" Properties=species:S:1:pos:R:3 pbc="T T T"
Cd 1.395 2.546 0.381
Cd 0.000 0.000 0.000
Fe 3.504 0.584 1.580
Sb -1.393 3.268 1.580
```

Total magnetic moment (μB per atom): 0.67
VASP energy (eV/atom): -3.25